(1)
SmPuFe2O8 | PBE+U | optimized geometry

a = 6.9941 Å, b = 6.9941 Å, c = 6.7186 Å
α = 90.00°, β = 90.00°, γ = 90.00°
Space group I-4m2 (No. 119)
Symmetry-distinct sites (fractional):
1 Sm 0.0000 0.0000 0.0000 [2 per cell]
2 Pu 0.0000 0.5000 0.7500 [2 per cell]
3 Fe 0.0000 0.0000 0.5000 [2 per cell]
4 Fe 0.0000 0.5000 0.2500 [2 per cell]
5 O 0.0000 0.2028 0.6887 [8 per cell]
6 O 0.0000 0.3229 0.0503 [8 per cell]

Calculated values
Magnetization (μB per cell): 14.68
V (A^3/atom): 13.7
VASP energy (eV per formula unit): -93.51

---

(2)
PuFe2SnO6 | PBE+U | optimized geometry

a = 9.7385 Å, b = 5.8865 Å, c = 5.3939 Å
α = 90.00°, β = 123.31°, γ = 90.00°
Space group C2/m (No. 12)
Symmetry-distinct sites (fractional):
1 Pu 0.0000 0.0000 0.0000 [2 per cell]
2 Fe 0.2459 0.5000 0.2900 [4 per cell]
3 Sn 0.0000 0.5000 0.5000 [2 per cell]
4 O 0.0907 0.2582 0.3493 [8 per cell]
5 O 0.2404 0.5000 0.9171 [4 per cell]

Calculated values
Magnetization (μB per cell): 24.00
V (A^3/atom): 12.9
VASP energy (eV per formula unit): -77.65

---

(3)
SrPuFe2O6 | PBE+U | optimized geometry

a = 5.5665 Å, b = 5.8492 Å, c = 8.4234 Å
α = 89.57°, β = 89.98°, γ = 89.99°
Space group P-1 (No. 2)
Symmetry-distinct sites (fractional):
1 Sr 0.0000 0.0000 0.0000 [1 per cell]
2 Sr 0.5000 0.5000 0.5000 [1 per cell]
3 Pu 0.0000 0.0000 0.5000 [1 per cell]
4 Pu 0.5000 0.5000 0.0000 [1 per cell]
5 Fe 0.0132 0.4979 0.2122 [2 per cell]
6 Fe 0.4864 0.9982 0.7122 [2 per cell]
7 O 0.1501 0.7665 0.3304 [2 per cell]
8 O 0.1624 0.7801 0.6729 [2 per cell]
9 O 0.1799 0.6451 0.9923 [2 per cell]
10 O 0.3202 0.1451 0.4915 [2 per cell]
11 O 0.3375 0.2789 0.1720 [2 per cell]
12 O 0.3497 0.2679 0.8295 [2 per cell]

Calculated values
Magnetization (μB per cell): 12.00
V (A^3/atom): 13.7
VASP energy (eV per formula unit): -78.18

---

(4)
SrPuFeO6 | PBE+U | optimized geometry

a = 5.3803 Å, b = 5.3803 Å, c = 10.8338 Å
α = 90.00°, β = 90.00°, γ = 120.00°
Space group P-31c (No. 163)
Symmetry-distinct sites (fractional):
1 Sr 0.0000 0.0000 0.0000 [2 per cell]
2 Pu 0.3333 0.6667 0.2500 [2 per cell]
3 Fe 0.3333 0.6667 0.7500 [2 per cell]
4 O 0.0042 0.3707 0.1482 [12 per cell]

Calculated values
Magnetization (μB per cell): 12.00
V (A^3/atom): 15.1
VASP energy (eV per formula unit): -71.94

---

(5)
Sr3PuFe2O9 | PBE+U | optimized geometry

a = 5.7223 Å, b = 5.7223 Å, c = 7.1222 Å
α = 90.00°, β = 90.00°, γ = 120.00°
Space group P-3m1 (No. 164)
Symmetry-distinct sites (fractional):
1 Sr 0.0000 0.0000 0.0000 [1 per cell]
2 Sr 0.3333 0.6667 0.7053 [2 per cell]
3 Pu 0.0000 0.0000 0.5000 [1 per cell]
4 Fe 0.3333 0.6667 0.1545 [2 per cell]
5 O 0.0000 0.5000 0.0000 [3 per cell]
6 O 0.1672 0.3344 0.3298 [6 per cell]

Calculated values
Magnetization (μB per cell): 9.89
V (A^3/atom): 13.5
VASP energy (eV per formula unit): -110.71

---

(6)
SrPuFeO5 | PBE+U | optimized geometry

a = 7.2227 Å, b = 9.7069 Å, c = 7.8816 Å
α = 90.00°, β = 114.14°, γ = 90.00°
Space group C2/c (No. 15)
Symmetry-distinct sites (fractional):
1 Sr 0.0000 0.1682 0.2500 [4 per cell]
2 Pu 0.0000 0.5000 0.0000 [4 per cell]
3 Fe 0.0000 0.1838 0.7500 [4 per cell]
4 O 0.0000 0.4242 0.2500 [4 per cell]
5 O 0.1022 0.2938 0.6077 [8 per cell]
6 O 0.1883 0.0553 0.9085 [8 per cell]

Calculated values
Magnetization (μB per cell): 32.00
V (A^3/atom): 15.8
VASP energy (eV per formula unit): -66.12

---

(7)
TbPuFeO6 | PBE+U | optimized geometry

a = 5.5816 Å, b = 5.5816 Å, c = 8.7654 Å
α = 90.00°, β = 90.00°, γ = 120.00°
Space group P-31c (No. 163)
Symmetry-distinct sites (fractional):
1 Tb 0.3333 0.6667 0.2500 [2 per cell]
2 Pu 0.3333 0.6667 0.7500 [2 per cell]
3 Fe 0.0000 0.0000 0.0000 [2 per cell]
4 O 0.0296 0.3375 0.6245 [12 per cell]

Calculated values
Magnetization (μB per cell): 14.00
V (A^3/atom): 13.1
VASP energy (eV per formula unit): -75.24

---

(8)
TbPuFe2O8 | PBE+U | optimized geometry

a = 6.9303 Å, b = 6.9303 Å, c = 6.7070 Å
α = 90.00°, β = 90.00°, γ = 90.00°
Space group I-4m2 (No. 119)
Symmetry-distinct sites (fractional):
1 Tb 0.0000 0.0000 0.0000 [2 per cell]
2 Pu 0.0000 0.5000 0.2500 [2 per cell]
3 Fe 0.0000 0.0000 0.5000 [2 per cell]
4 Fe 0.0000 0.5000 0.7500 [2 per cell]
5 O 0.0000 0.2013 0.3084 [8 per cell]
6 O 0.0000 0.3198 0.9491 [8 per cell]

Calculated values
Magnetization (μB per cell): 14.82
V (A^3/atom): 13.4
VASP energy (eV per formula unit): -93.67